First-principles (PBE) data for crystalline ErVGa6 at its relaxed geometry, as listed in Alexandria.

a b c (Å): 5.252 9.082 5.840
angles (deg): 90.00 90.51 90.00
Space group C2/m (No. 12)
Symmetry-distinct sites (fractional):
Er 0.000 0.000 0.000 [2 per cell]
V 0.000 0.000 0.500 [2 per cell]
Ga 0.001 0.500 0.267 [4 per cell]
Ga 0.248 0.250 0.733 [8 per cell]

Results
Electronic total energy   -66.92 eV per cell